#A
The following is a PBE calculation of crystalline Er2ThAg at its relaxed geometry, from the Alexandria database.

The structure in POSCAR format:
```
Er2ThAg
1.0
3.569 0.000 0.000
0.000 5.532 0.000
0.000 0.000 5.532
Ag Er Th
1 2 1
direct
0.500 0.500 0.500
0.000 0.000 0.500
0.000 0.500 0.000
0.500 0.000 0.000
```

## Properties
ρ ... 10.3 g/cm3

#B
The following is a PBE calculation of crystalline Er2ThAg at its relaxed geometry, from the Alexandria database.

The structure in POSCAR format:
```
Er2ThAg
1.0
3.609 0.000 0.000
0.000 3.609 0.000
0.000 0.000 8.349
Er Ag Th
2 1 1
direct
0.000 0.000 0.784
0.000 0.000 0.216
0.500 0.500 0.000
0.500 0.500 0.500
```

## Properties
ρ ... 10.3 g/cm3

#C
The following is a PBE calculation of crystalline Er2ThAg at its relaxed geometry, from the Alexandria database.

The structure in POSCAR format:
```
Er2ThAg
1.0
-1.975 1.516 -2.528
-3.501 0.353 0.456
-0.327 9.849 3.673
Th Er Ag
1 2 1
direct
0.500 0.500 0.500
0.742 0.742 0.774
0.258 0.258 0.226
0.000 0.000 0.000
```

## Properties
ρ ... 10.0 g/cm3

Most stable: #B

#A
The following is a PBE calculation of crystalline ErThAg at its relaxed geometry, from the Alexandria database.

The structure in POSCAR format:
```
ErThAg
1.0
-2.910 3.802 3.190
-2.587 -4.819 -1.785
4.462 -2.175 4.058
Ag Th Er
2 2 2
direct
0.250 0.750 0.500
0.750 0.250 0.500
0.335 0.665 0.000
0.665 0.335 0.000
0.147 0.147 0.293
0.853 0.853 0.707
```

## Properties
ρ ... 10.2 g/cm3

#B
The following is a PBE calculation of crystalline ErThAg at its relaxed geometry, from the Alexandria database.

The structure in POSCAR format:
```
ErThAg
1.0
-1.090 -3.025 -1.852
4.798 -1.724 -0.009
-3.137 -1.214 3.830
Er Ag Th
1 1 1
direct
0.515 0.667 0.333
0.478 0.333 0.667
0.007 0.000 0.000
```

## Properties
ρ ... 10.1 g/cm3

Most stable: #A

#A
The following is a PBE calculation of crystalline ErTh2Ag at its relaxed geometry, from the Alexandria database.

The structure in POSCAR format:
```
ErTh2Ag
1.0
-1.409 2.865 1.494
-2.926 -0.439 -1.917
-3.653 -5.343 6.798
Er Th Ag
1 2 1
direct
0.500 0.500 0.500
0.000 0.000 0.227
0.000 0.000 0.773
0.500 0.500 0.000
```

## Properties
ρ ... 10.5 g/cm3

#B
The following is a PBE calculation of crystalline ErTh2Ag at its relaxed geometry, from the Alexandria database.

The structure in POSCAR format:
```
ErTh2Ag
1.0
-0.795 3.151 0.992
-2.004 1.938 -1.943
-10.696 -2.592 5.478
Ag Th Er
1 2 1
direct
0.000 0.000 0.000
0.086 0.086 0.743
0.914 0.914 0.257
0.500 0.500 0.500
```

## Properties
ρ ... 10.1 g/cm3

Most stable: #A

#A
The following is a PBE calculation of crystalline Er2TiAg at its relaxed geometry, from the Alexandria database.

The structure in POSCAR format:
```
Er2TiAg
1.0
-1.736 -2.096 2.445
2.542 -4.066 -1.681
3.680 0.900 3.386
Er Ag Ti
2 1 1
direct
0.000 0.000 0.500
0.000 0.500 0.000
0.500 0.500 0.500
0.500 0.000 0.000
```

## Properties
ρ ... 8.6 g/cm3

#B
The following is a PBE calculation of crystalline Er2TiAg at its relaxed geometry, from the Alexandria database.

The structure in POSCAR format:
```
Er2TiAg
1.0
-3.011 -1.370 0.694
1.453 -3.036 0.311
1.206 1.395 7.987
Er Ti Ag
2 1 1
direct
0.000 0.000 0.248
0.000 0.000 0.752
0.500 0.500 0.500
0.500 0.500 0.000
```

## Properties
ρ ... 8.7 g/cm3

Most stable: #B

#A
The following is a PBE calculation of crystalline ErTiAg2 at its relaxed geometry, from the Alexandria database.

The structure in POSCAR format:
```
ErTiAg2
1.0
-1.061 -3.029 1.288
1.916 -1.669 -2.346
5.296 -0.011 4.334
Ag Ti Er
2 1 1
direct
0.000 0.000 0.223
0.000 0.000 0.777
0.500 0.500 0.000
0.500 0.500 0.500
```

## Properties
ρ ... 8.7 g/cm3

#B
The following is a PBE calculation of crystalline ErTiAg2 at its relaxed geometry, from the Alexandria database.

The structure in POSCAR format:
```
ErTiAg2
1.0
3.545 0.000 0.000
0.000 4.822 0.000
0.000 0.000 4.822
Ag Ti Er
2 1 1
direct
0.000 0.000 0.500
0.000 0.500 0.000
0.500 0.000 0.000
0.500 0.500 0.500
```

## Properties
ρ ... 8.7 g/cm3

Most stable: #A

#A
The following is a PBE calculation of crystalline Er6Tl5Ag at its relaxed geometry, from the Alexandria database.

The structure in POSCAR format:
```
Er6Tl5Ag
1.0
-7.645 3.546 -4.875
0.144 -3.237 -5.485
-3.180 -5.554 -0.506
Tl Er Ag
5 6 1
direct
0.000 0.659 0.683
0.000 0.341 0.317
0.500 0.826 0.348
0.500 0.500 0.000
0.500 0.174 0.652
0.757 0.079 0.327
0.757 0.406 0.673
0.243 0.921 0.673
0.253 0.242 0.000
0.243 0.594 0.327
0.747 0.758 0.000
0.000 0.000 0.000
```

## Properties
ρ ... 10.5 g/cm3

#B
The following is a PBE calculation of crystalline Er6Tl5Ag at its relaxed geometry, from the Alexandria database.

The structure in POSCAR format:
```
Er6Tl5Ag
1.0
-1.934 -4.293 2.457
6.300 -3.663 -1.441
2.103 0.419 8.129
Er Tl Ag
6 5 1
direct
0.164 0.246 0.672
0.836 0.246 0.328
0.500 0.245 0.000
0.500 0.755 0.000
0.164 0.754 0.672
0.836 0.754 0.328
0.332 0.500 0.335
0.663 0.000 0.674
0.668 0.500 0.665
0.000 0.500 0.000
0.337 0.000 0.326
0.000 0.000 0.000
```

## Properties
ρ ... 11.3 g/cm3

Most stable: #B

#A
The following is a PBE calculation of crystalline Er4TlAg2 at its relaxed geometry, from the Alexandria database.

The structure in POSCAR format:
```
Er4TlAg2
1.0
4.892 0.000 1.528
2.207 4.365 1.528
-0.031 -0.019 8.691
Er Ag Tl
4 2 1
direct
0.385 0.385 0.845
0.869 0.869 0.392
0.615 0.615 0.155
0.131 0.131 0.608
0.747 0.747 0.760
0.253 0.253 0.240
0.000 0.000 0.000
```

## Properties
ρ ... 9.7 g/cm3

#B
The following is a PBE calculation of crystalline Er4TlAg2 at its relaxed geometry, from the Alexandria database.

The structure in POSCAR format:
```
Er4TlAg2
1.0
-0.183 2.883 -3.945
-2.868 -1.200 -3.774
-8.316 5.528 1.395
Ag Er Tl
2 4 1
direct
0.899 0.899 0.303
0.101 0.101 0.697
0.203 0.203 0.391
0.380 0.380 0.859
0.797 0.797 0.609
0.620 0.620 0.141
0.000 0.000 0.000
```

## Properties
ρ ... 9.0 g/cm3

Most stable: #A

#A
The following is a PBE calculation of crystalline Er2TlAg3 at its relaxed geometry, from the Alexandria database.

The structure in POSCAR format:
```
Er2TlAg3
1.0
-0.830 2.199 5.373
0.418 -5.848 0.135
8.599 2.448 -1.713
Er Tl Ag
4 2 6
direct
0.754 0.754 0.000
0.250 0.750 0.500
0.246 0.246 0.000
0.750 0.250 0.500
0.666 0.666 0.332
0.334 0.334 0.668
0.672 0.165 0.837
0.834 0.834 0.669
0.165 0.672 0.837
0.835 0.328 0.163
0.328 0.835 0.163
0.166 0.166 0.331
```

## Properties
ρ ... 10.5 g/cm3

#B
The following is a PBE calculation of crystalline Er2TlAg3 at its relaxed geometry, from the Alexandria database.

The structure in POSCAR format:
```
Er2TlAg3
1.0
3.886 0.000 -1.034
-0.280 3.704 -1.053
0.545 0.832 9.864
Ag Tl Er
3 1 2
direct
0.702 0.702 0.404
0.558 0.558 0.117
0.296 0.796 0.591
0.451 0.951 0.903
0.856 0.356 0.711
0.137 0.137 0.273
```

## Properties
ρ ... 9.7 g/cm3

Most stable: #A

#A
The following is a PBE calculation of crystalline Er4TmAg at its relaxed geometry, from the Alexandria database.

The structure in POSCAR format:
```
Er4TmAg
1.0
-2.259 1.431 2.255
0.881 -2.389 2.399
9.964 8.366 4.672
Tm Ag Er
1 1 4
direct
0.000 0.000 0.000
0.500 0.500 0.500
0.000 0.000 0.361
0.000 0.000 0.639
0.500 0.500 0.179
0.500 0.500 0.821
```

## Properties
ρ ... 9.3 g/cm3

#B
The following is a PBE calculation of crystalline Er4TmAg at its relaxed geometry, from the Alexandria database.

The structure in POSCAR format:
```
Er4TmAg
1.0
-1.830 -4.961 0.830
5.897 -2.268 -0.551
2.319 3.663 9.748
Er Ag Tm
8 2 2
direct
0.323 0.073 0.647
0.535 0.379 0.070
0.257 0.585 0.514
0.934 0.212 0.868
0.743 0.085 0.486
0.066 0.712 0.132
0.677 0.573 0.353
0.465 0.879 0.930
0.397 0.470 0.794
0.603 0.970 0.206
0.865 0.715 0.729
0.135 0.215 0.271
```

## Properties
ρ ... 9.0 g/cm3

Most stable: #A

#A
The following is a PBE calculation of crystalline ErTm2Ag at its relaxed geometry, from the Alexandria database.

The structure in POSCAR format:
```
ErTm2Ag
1.0
-1.664 3.115 5.070
-5.197 -3.653 0.539
3.179 -5.394 0.593
Ag Er Tm
2 2 4
direct
0.697 0.750 0.000
0.303 0.250 0.000
0.176 0.750 0.000
0.824 0.250 0.000
0.280 0.079 0.558
0.720 0.921 0.442
0.279 0.579 0.558
0.721 0.421 0.442
```

## Properties
ρ ... 9.5 g/cm3

#B
The following is a PBE calculation of crystalline ErTm2Ag at its relaxed geometry, from the Alexandria database.

The structure in POSCAR format:
```
ErTm2Ag
1.0
-3.217 -1.387 0.195
0.971 -1.855 2.816
-2.520 6.576 5.201
Tm Er Ag
2 1 1
direct
0.000 0.000 0.784
0.000 0.000 0.216
0.500 0.500 0.500
0.500 0.500 0.000
```

## Properties
ρ ... 9.4 g/cm3

Most stable: #B

#A
The following is a PBE calculation of crystalline Er2TmAg at its relaxed geometry, from the Alexandria database.

The structure in POSCAR format:
```
Er2TmAg
1.0
4.729 0.001 0.000
-2.363 5.642 0.000
0.000 0.000 8.365
Ag Tm Er
2 2 4
direct
0.225 0.450 0.250
0.775 0.550 0.750
0.947 0.895 0.250
0.053 0.105 0.750
0.643 0.286 0.453
0.357 0.714 0.547
0.643 0.286 0.047
0.357 0.714 0.953
```

## Properties
ρ ... 9.1 g/cm3

#B
The following is a PBE calculation of crystalline Er2TmAg at its relaxed geometry, from the Alexandria database.

The structure in POSCAR format:
```
Er2TmAg
1.0
-3.393 -0.927 -0.007
0.521 -1.886 -2.923
1.911 -7.030 4.876
Er Ag Tm
2 1 1
direct
0.000 0.000 0.217
0.000 0.000 0.783
0.500 0.500 0.000
0.500 0.500 0.500
```

## Properties
ρ ... 9.4 g/cm3

Most stable: #B

#A
The following is a PBE calculation of crystalline Er2TmAg at its relaxed geometry, from the Alexandria database.

The structure in POSCAR format:
```
Er2TmAg
1.0
-1.333 -3.376 0.945
0.072 -1.461 -5.117
4.974 -1.800 0.584
Tm Ag Er
1 1 2
direct
0.500 0.500 0.500
0.500 0.000 0.000
0.000 0.000 0.500
0.000 0.500 0.000
```

## Properties
ρ ... 9.6 g/cm3

#B
The following is a PBE calculation of crystalline Er2TmAg at its relaxed geometry, from the Alexandria database.

The structure in POSCAR format:
```
Er2TmAg
1.0
-1.803 -3.528 -3.541
2.550 -0.675 -4.613
2.713 -4.479 -0.905
Er Ag Tm
2 1 1
direct
0.750 0.750 0.750
0.250 0.250 0.250
0.500 0.500 0.500
0.000 0.000 0.000
```

## Properties
ρ ... 9.6 g/cm3

#C
The following is a PBE calculation of crystalline Er2TmAg at its relaxed geometry, from the Alexandria database.

The structure in POSCAR format:
```
Er2TmAg
1.0
3.545 0.000 0.000
1.772 3.071 0.000
1.773 1.024 10.224
Ag Tm Er
1 1 2
direct
0.667 0.667 0.000
0.500 0.500 0.500
0.258 0.258 0.226
0.076 0.076 0.774
```

## Properties
ρ ... 9.1 g/cm3

#D
The following is a PBE calculation of crystalline Er2TmAg at its relaxed geometry, from the Alexandria database.

The structure in POSCAR format:
```
Er2TmAg
1.0
3.360 0.000 0.000
1.680 2.910 0.000
1.680 0.970 11.576
Er Ag Tm
2 1 1
direct
0.903 0.903 0.290
0.097 0.097 0.710
0.500 0.500 0.500
0.000 0.000 0.000
```

## Properties
ρ ... 9.0 g/cm3

Most stable: #C